[1]
VASP calculation (PBE) on a geometry-optimized TmIn3Ag3 structure. Values from VASP.

```
&SYSTEM
  ibrav = 0, nat = 14, ntyp = 3
/
ATOMIC_SPECIES
Tm 168.93 Tm.upf
Ag 107.87 Ag.upf
In 114.82 In.upf
CELL_PARAMETERS angstrom
7.521 0.000 0.000
0.000 7.521 0.000
0.000 0.000 7.521
ATOMIC_POSITIONS crystal
Tm 0.500 0.500 0.500
Tm 0.000 0.000 0.000
Ag 0.250 0.000 0.500
Ag 0.000 0.500 0.250
Ag 0.500 0.750 0.000
Ag 0.750 0.000 0.500
Ag 0.000 0.500 0.750
Ag 0.500 0.250 0.000
In 0.000 0.250 0.500
In 0.000 0.750 0.500
In 0.500 0.000 0.750
In 0.750 0.500 0.000
In 0.500 0.000 0.250
In 0.250 0.500 0.000
```

Properties
Calculated total energy: -2.566 eV/atom
Mass density: 6533 kg/m³
Crystal system: cubic
Formation enthalpy at 0 K: 468 meV/atom
D(E_F): 0.623 states/eV/atom

***

[2]
VASP calculation (PBE) on a geometry-optimized GdBe2Ru structure. Values from VASP.

```
&SYSTEM
  ibrav = 0, nat = 4, ntyp = 3
/
ATOMIC_SPECIES
Ru 101.07 Ru.upf
Gd 157.25 Gd.upf
Be 9.01 Be.upf
CELL_PARAMETERS angstrom
-0.244 1.692 -2.577
-2.814 -1.178 -0.507
-2.467 4.515 3.198
ATOMIC_POSITIONS crystal
Ru 0.500 0.500 0.000
Gd 0.500 0.500 0.500
Be 0.000 0.000 0.830
Be 0.000 0.000 0.170
```

Properties
Calculated total energy: -7.876 eV/atom
Mass density: 7923 kg/m³
Crystal system: tetragonal
Formation enthalpy at 0 K: -174 meV/atom
D(E_F): 0.434 states/eV/atom

***

[3]
VASP calculation (PBE) on a geometry-optimized ReSn3Os structure. Values from VASP.

```
&SYSTEM
  ibrav = 0, nat = 5, ntyp = 3
/
ATOMIC_SPECIES
Re 186.21 Re.upf
Os 190.23 Os.upf
Sn 118.71 Sn.upf
CELL_PARAMETERS angstrom
-3.031 -2.323 -3.376
4.077 -1.291 -2.772
0.408 -4.349 2.626
ATOMIC_POSITIONS crystal
Re 0.500 0.500 0.500
Os 0.000 0.000 0.000
Sn 0.000 0.500 0.000
Sn 0.000 0.000 0.500
Sn 0.500 0.000 0.000
```

Properties
Calculated total energy: -5.830 eV/atom
Mass density: 9187 kg/m³
Crystal system: cubic
Formation enthalpy at 0 K: 1307 meV/atom
D(E_F): 0.522 states/eV/atom

***

[4]
VASP calculation (PBE) on a geometry-optimized DyInBr4 structure. Values from VASP.

```
&SYSTEM
  ibrav = 0, nat = 6, ntyp = 3
/
ATOMIC_SPECIES
Dy 162.50 Dy.upf
In 114.82 In.upf
Br 79.90 Br.upf
CELL_PARAMETERS angstrom
-4.108 1.082 0.182
0.336 -6.676 -2.635
0.008 -1.354 8.262
ATOMIC_POSITIONS crystal
Dy 0.000 0.000 0.000
In 0.500 0.000 0.500
Br 0.881 0.763 0.687
Br 0.119 0.237 0.313
Br 0.383 0.767 0.092
Br 0.617 0.233 0.908
```

Properties
Calculated total energy: -3.795 eV/atom
Mass density: 4162 kg/m³
Formation energy (no corrections): -843 kJ/mol of formula units
Crystal system: triclinic
D(E_F): 0.000 states/eV/atom

***

[5]
VASP calculation (PBE) on a geometry-optimized ScGaSn2 structure. Values from VASP.

```
&SYSTEM
  ibrav = 0, nat = 4, ntyp = 3
/
ATOMIC_SPECIES
Sc 44.96 Sc.upf
Sn 118.71 Sn.upf
Ga 69.72 Ga.upf
CELL_PARAMETERS angstrom
-2.068 2.556 0.848
-3.055 -0.657 1.329
2.388 0.798 10.222
ATOMIC_POSITIONS crystal
Sc 0.000 0.000 0.000
Sn 0.095 0.095 0.716
Sn 0.905 0.905 0.284
Ga 0.500 0.500 0.500
```

Properties
Calculated total energy: -4.206 eV/atom
Mass density: 5661 kg/m³
Crystal system: trigonal
Formation enthalpy at 0 K: 135 meV/atom
D(E_F): 0.701 states/eV/atom

***

[6]
VASP calculation (PBE) on a geometry-optimized Rb2Na2H structure. Values from VASP.

```
&SYSTEM
  ibrav = 0, nat = 10, ntyp = 3
/
ATOMIC_SPECIES
Na 22.99 Na.upf
Rb 85.47 Rb.upf
H 1.01 H.upf
CELL_PARAMETERS angstrom
7.828 0.000 0.000
0.000 7.828 0.000
0.000 0.000 7.838
ATOMIC_POSITIONS crystal
Na 0.161 0.661 0.500
Na 0.661 0.839 0.500
Na 0.839 0.339 0.500
Na 0.339 0.161 0.500
Rb 0.289 0.789 0.000
Rb 0.789 0.711 0.000
Rb 0.711 0.211 0.000
Rb 0.211 0.289 0.000
H 0.000 0.000 0.000
H 0.500 0.500 0.000
```

Properties
Calculated total energy: -1.458 eV/atom
Mass density: 1507 kg/m³
Crystal system: tetragonal
D(E_F): 0.645 states/eV/atom

***

[7]
VASP calculation (PBE) on a geometry-optimized Te2AsRu structure. Values from VASP.

```
&SYSTEM
  ibrav = 0, nat = 4, ntyp = 3
/
ATOMIC_SPECIES
Ru 101.07 Ru.upf
As 74.92 As.upf
Te 127.60 Te.upf
CELL_PARAMETERS angstrom
-0.659 3.309 1.806
-2.039 -1.329 1.690
3.869 -3.193 7.261
ATOMIC_POSITIONS crystal
Ru 0.500 0.750 0.750
As 0.500 0.250 0.250
Te 0.000 0.524 0.969
Te 0.000 0.976 0.531
```

Properties
Calculated total energy: -4.663 eV/atom
Mass density: 7579 kg/m³
Formation energy (no corrections): 150 kJ/mol of formula units
Crystal system: monoclinic
D(E_F): 1.100 states/eV/atom

***

[8]
VASP calculation (PBE) on a geometry-optimized BeGeB structure. Values from VASP.

```
&SYSTEM
  ibrav = 0, nat = 6, ntyp = 3
/
ATOMIC_SPECIES
Be 9.01 Be.upf
Ge 72.64 Ge.upf
B 10.81 B.upf
CELL_PARAMETERS angstrom
2.956 -0.005 -0.005
0.760 2.980 -0.013
0.492 1.009 8.345
ATOMIC_POSITIONS crystal
Be 0.174 0.979 0.884
Be 0.826 0.021 0.116
Ge 0.774 0.653 0.675
Ge 0.226 0.347 0.325
B 0.754 0.544 0.950
B 0.246 0.456 0.050
```

Properties
Calculated total energy: -4.778 eV/atom
Mass density: 4173 kg/m³
Crystal system: triclinic
Formation enthalpy at 0 K: 229 meV/atom
D(E_F): 0.223 states/eV/atom

***

[9]
VASP calculation (PBE) on a geometry-optimized Ac2Nd2Dy15 structure. Values from VASP.

```
&SYSTEM
  ibrav = 0, nat = 19, ntyp = 3
/
ATOMIC_SPECIES
Ac 227.00 Ac.upf
Nd 144.24 Nd.upf
Dy 162.50 Dy.upf
CELL_PARAMETERS angstrom
8.498 -0.666 2.178
1.524 8.387 2.178
-0.864 -0.666 8.730
ATOMIC_POSITIONS crystal
Ac 0.884 0.884 0.884
Ac 0.116 0.116 0.116
Nd 0.663 0.663 0.663
Nd 0.337 0.337 0.337
Dy 0.000 0.500 0.000
Dy 0.000 0.000 0.500
Dy 0.500 0.000 0.000
Dy 0.307 0.000 0.693
Dy 0.693 0.307 0.000
Dy 0.000 0.693 0.307
Dy 0.307 0.693 0.000
Dy 0.000 0.307 0.693
Dy 0.693 0.000 0.307
Dy 0.367 0.843 0.367
Dy 0.367 0.367 0.843
Dy 0.843 0.367 0.367
Dy 0.633 0.157 0.633
Dy 0.633 0.633 0.157
Dy 0.157 0.633 0.633
```

Properties
Calculated total energy: -4.291 eV/atom
Mass density: 8022 kg/m³
Crystal system: trigonal
Formation enthalpy at 0 K: 277 meV/atom
D(E_F): 1.876 states/eV/atom

***

[10]
VASP calculation (PBE) on a geometry-optimized Tb3YRh2 structure. Values from VASP.

```
&SYSTEM
  ibrav = 0, nat = 12, ntyp = 3
/
ATOMIC_SPECIES
Tb 158.93 Tb.upf
Y 88.91 Y.upf
Rh 102.91 Rh.upf
CELL_PARAMETERS angstrom
4.742 0.000 0.000
0.000 7.174 0.000
0.000 0.000 8.700
ATOMIC_POSITIONS crystal
Tb 0.000 0.489 0.914
Tb 0.000 0.989 0.086
Tb 0.500 0.641 0.167
Tb 0.500 0.141 0.833
Tb 0.000 0.359 0.333
Tb 0.000 0.859 0.667
Y 0.500 0.511 0.584
Y 0.500 0.011 0.416
Rh 0.500 0.744 0.839
Rh 0.500 0.244 0.161
Rh 0.000 0.256 0.662
Rh 0.000 0.756 0.338
```

Properties
Calculated total energy: -6.484 eV/atom
Mass density: 8657 kg/m³
Crystal system: orthorhombic
Formation enthalpy at 0 K: -641 meV/atom
D(E_F): 1.007 states/eV/atom

***

[11]
VASP calculation (PBE) on a geometry-optimized Th6SiGe3S2 structure. Values from VASP.

```
&SYSTEM
  ibrav = 0, nat = 12, ntyp = 4
/
ATOMIC_SPECIES
Th 232.04 Th.upf
Si 28.09 Si.upf
Ge 72.64 Ge.upf
S 32.06 S.upf
CELL_PARAMETERS angstrom
4.245 0.000 0.000
0.000 8.389 0.349
-2.122 -2.365 8.868
ATOMIC_POSITIONS crystal
Th 0.335 0.917 0.669
Th 0.667 0.580 0.334
Th 0.665 0.083 0.331
Th 0.001 0.248 0.001
Th 0.999 0.752 0.999
Th 0.333 0.420 0.666
Si 0.500 0.000 0.000
Ge 0.500 0.500 0.000
Ge 0.832 0.170 0.664
Ge 0.168 0.830 0.336
S 0.833 0.667 0.666
S 0.167 0.333 0.334
```

Properties
Calculated total energy: -7.129 eV/atom
Mass density: 8853 kg/m³
Formation energy (no corrections): -1303 kJ/mol of formula units
Crystal system: monoclinic
D(E_F): 0.451 states/eV/atom